## Na3LaNp2Se6 (GGA-PBE)

Data for an optimized crystal structure of Na3LaNp2Se6.

Summary:
Its crystal system is monoclinic. For the raw total energy, the calculation gives -6.013 eV per atom. Its formation energy (no corrections) is -16.477 eV/f.u.

Cell: 7.379 7.379 7.398 Å, 99.59 99.59 120.00°
Element x y z (fractional)
Na 0.165 0.835 0.500
Na 0.835 0.165 0.500
Na 0.500 0.500 0.500
La 0.000 0.000 0.000
Np 0.333 0.667 0.000
Np 0.667 0.333 0.000
Se 0.922 0.579 0.767
Se 0.735 0.735 0.235
Se 0.078 0.421 0.233
Se 0.579 0.922 0.767
Se 0.265 0.265 0.765
Se 0.421 0.078 0.233

## Na2LaNpSe4 (GGA-PBE)

Data for an optimized crystal structure of Na2LaNpSe4.

Summary:
Its crystal system is monoclinic. For the raw total energy, the calculation gives -5.771 eV per atom. Its formation energy (no corrections) is -11.720 eV/f.u.

Cell: 4.296 7.461 7.399 Å, 109.79 90.00 90.00°
Element x y z (fractional)
Na 0.500 0.000 0.500
Na 0.000 0.500 0.500
La 0.500 0.500 0.000
Np 0.000 0.000 0.000
Se 0.500 0.236 0.232
Se 0.500 0.764 0.768
Se 0.000 0.247 0.762
Se 0.000 0.753 0.238

## NaLaNp2Se4 (GGA-PBE)

Data for an optimized crystal structure of NaLaNp2Se4.

Summary:
Its crystal system is monoclinic. For the raw total energy, the calculation gives -7.121 eV per atom. Its formation energy (no corrections) is -10.901 eV/f.u.

Cell: 4.181 7.226 7.370 Å, 109.13 90.00 90.00°
Element x y z (fractional)
Na 0.500 0.500 0.000
La 0.000 0.000 0.000
Np 0.500 0.000 0.500
Np 0.000 0.500 0.500
Se 0.500 0.257 0.261
Se 0.500 0.743 0.739
Se 0.000 0.248 0.739
Se 0.000 0.752 0.261

## Na4La3NpTe8 (GGA-PBE)

Data for an optimized crystal structure of Na4La3NpTe8.

Summary:
Its crystal system is trigonal. For the raw total energy, the calculation gives -4.882 eV per atom. Its formation energy (no corrections) is -19.986 eV/f.u.

Cell: 9.239 9.201 9.237 Å, 120.12 120.01 90.00°
Element x y z (fractional)
Na 0.500 0.000 0.000
Na 0.500 0.000 0.500
Na 0.000 0.000 0.000
Na 0.000 0.000 0.500
La 0.500 0.500 0.000
La 0.500 0.500 0.500
La 0.000 0.500 0.500
Np 0.000 0.500 0.000
Te 0.243 0.739 0.996
Te 0.243 0.739 0.487
Te 0.252 0.257 0.505
Te 0.752 0.739 0.996
Te 0.248 0.261 0.004
Te 0.748 0.743 0.495
Te 0.757 0.261 0.513
Te 0.757 0.261 0.004

## Na3La3NpTe8 (GGA-PBE)

Data for an optimized crystal structure of Na3La3NpTe8.

Summary:
Its crystal system is trigonal. For the raw total energy, the calculation gives -5.011 eV per atom. Its formation energy (no corrections) is -18.357 eV/f.u.

Cell: 9.235 9.235 9.215 Å, 120.11 90.00 120.00°
Element x y z (fractional)
Na 0.000 0.000 0.000
Na 0.000 0.500 0.000
Na 0.500 0.500 0.000
La 0.500 0.000 0.500
La 0.500 0.500 0.500
La 0.000 0.500 0.500
Np 0.000 0.000 0.500
Te 0.252 0.505 0.257
Te 0.748 0.495 0.743
Te 0.763 0.526 0.268
Te 0.237 0.474 0.732
Te 0.763 0.005 0.268
Te 0.237 0.995 0.732
Te 0.242 0.005 0.268
Te 0.758 0.995 0.732

## NaLaNp2Te4 (GGA-PBE)

Data for an optimized crystal structure of NaLaNp2Te4.

Summary:
Its crystal system is monoclinic. For the raw total energy, the calculation gives -6.537 eV per atom. Its formation energy (no corrections) is -7.604 eV/f.u.

Cell: 4.461 7.730 7.876 Å, 109.06 90.00 90.00°
Element x y z (fractional)
Na 0.500 0.500 0.000
La 0.000 0.000 0.000
Np 0.500 0.000 0.500
Np 0.000 0.500 0.500
Te 0.500 0.256 0.259
Te 0.500 0.744 0.741
Te 0.000 0.249 0.742
Te 0.000 0.751 0.258

## NaLa2NpTe4 (GGA-PBE)

Data for an optimized crystal structure of NaLa2NpTe4.

Summary:
Its crystal system is monoclinic. For the raw total energy, the calculation gives -5.803 eV per atom. Its formation energy (no corrections) is -9.744 eV/f.u.

Cell: 4.534 7.902 7.816 Å, 109.55 90.00 90.00°
Element x y z (fractional)
Na 0.000 0.000 0.000
La 0.500 0.000 0.500
La 0.000 0.500 0.500
Np 0.500 0.500 0.000
Te 0.500 0.249 0.243
Te 0.500 0.751 0.757
Te 0.000 0.255 0.761
Te 0.000 0.745 0.239

## NaLaO (GGA-PBE)

Data for an optimized crystal structure of NaLaO.

Summary:
Its crystal system is tetragonal. For the raw total energy, the calculation gives -5.430 eV per atom. Its formation energy (no corrections) is -5.087 eV/f.u. For the energy above the most stable polymorph in this dataset, the calculation gives 0.163 eV/atom.

Cell: 4.858 4.858 6.507 Å, 90.00 90.00 90.00°
Element x y z (fractional)
Na 0.250 0.250 0.544
Na 0.750 0.750 0.456
La 0.750 0.250 0.000
La 0.250 0.750 0.000
O 0.750 0.750 0.067
O 0.250 0.250 0.933

## NaLaO2 (GGA-PBE)

Data for an optimized crystal structure of NaLaO2.

Summary:
Its crystal system is monoclinic. For the raw total energy, the calculation gives -6.711 eV per atom. Its formation energy (no corrections) is -10.682 eV/f.u. For the energy above the most stable polymorph in this dataset, the calculation gives 0.024 eV/atom.

Cell: 6.509 7.795 6.535 Å, 76.41 116.17 76.55°
Element x y z (fractional)
Na 0.804 0.392 0.054
Na 0.429 0.141 0.179
Na 0.571 0.859 0.821
Na 0.196 0.608 0.946
O 0.923 0.627 0.228
O 0.838 0.877 0.534
O 0.285 0.877 0.090
O 0.550 0.373 0.355
O 0.450 0.627 0.645
O 0.715 0.123 0.910
O 0.162 0.123 0.466
O 0.077 0.373 0.772
La 0.943 0.113 0.693
La 0.682 0.637 0.432
La 0.318 0.363 0.568
La 0.057 0.887 0.307

## NaLaO2 (GGA-PBE)

Data for an optimized crystal structure of NaLaO2.

Summary:
Its crystal system is tetragonal. For the raw total energy, the calculation gives -6.735 eV per atom. Its formation energy (no corrections) is -10.778 eV/f.u. For the energy above the most stable polymorph in this dataset, the calculation gives 0.000 eV/atom.

Cell: 4.817 4.817 6.683 Å, 68.87 68.87 90.00°
Element x y z (fractional)
Na 0.500 0.500 0.000
Na 0.250 0.750 0.500
O 0.215 0.215 0.570
O 0.535 0.035 0.930
O 0.965 0.465 0.070
O 0.785 0.785 0.430
La 0.000 0.000 0.000
La 0.750 0.250 0.500

## Na3LaO (GGA-PBE)

Data for an optimized crystal structure of Na3LaO.

Summary:
Its crystal system is cubic. For the raw total energy, the calculation gives -2.915 eV per atom. Its formation energy (no corrections) is -0.731 eV/f.u.

Cell: 4.954 4.954 4.954 Å, 90.00 90.00 90.00°
Element x y z (fractional)
Na 0.000 0.500 0.000
Na 0.000 0.000 0.500
Na 0.500 0.000 0.000
O 0.000 0.000 0.000
La 0.500 0.500 0.500

## NaLa2O2 (GGA-PBE)

Data for an optimized crystal structure of NaLa2O2.

Summary:
Its crystal system is tetragonal. For the raw total energy, the calculation gives -6.484 eV per atom. Its formation energy (no corrections) is -11.332 eV/f.u.

Cell: 4.333 4.333 7.457 Å, 73.11 73.11 90.00°
Element x y z (fractional)
Na 0.000 0.000 0.000
O 0.750 0.250 0.500
O 0.250 0.750 0.500
La 0.328 0.328 0.345
La 0.672 0.672 0.655

## NaLaO2 (GGA-PBE)

Data for an optimized crystal structure of NaLaO2.

Summary:
Its crystal system is trigonal. For the raw total energy, the calculation gives -6.690 eV per atom. Its formation energy (no corrections) is -10.599 eV/f.u. For the energy above the most stable polymorph in this dataset, the calculation gives 0.045 eV/atom.

Cell: 3.682 6.004 3.682 Å, 107.86 60.00 107.86°
Element x y z (fractional)
Na 0.000 0.000 0.000
O 0.761 0.284 0.761
O 0.239 0.716 0.239
La 0.500 0.500 0.500

## NaLaO (GGA-PBE)

Data for an optimized crystal structure of NaLaO.

Summary:
Its crystal system is trigonal. For the raw total energy, the calculation gives -5.421 eV per atom. Its formation energy (no corrections) is -5.059 eV/f.u. For the energy above the most stable polymorph in this dataset, the calculation gives 0.172 eV/atom.

Cell: 3.992 3.992 6.764 Å, 90.00 90.00 120.00°
Element x y z (fractional)
Na 0.000 0.000 0.000
O 0.333 0.667 0.501
La 0.667 0.333 0.499

## NaLa3O (GGA-PBE)

Data for an optimized crystal structure of NaLa3O.

Summary:
Its crystal system is cubic. For the raw total energy, the calculation gives -5.180 eV per atom. Its formation energy (no corrections) is -4.840 eV/f.u. For the energy above the most stable polymorph in this dataset, the calculation gives 0.000 eV/atom.

Cell: 5.183 5.183 5.183 Å, 90.00 90.00 90.00°
Element x y z (fractional)
Na 0.500 0.500 0.500
O 0.000 0.000 0.000
La 0.000 0.500 0.000
La 0.000 0.000 0.500
La 0.500 0.000 0.000

## NaLaO2 (GGA-PBE)

Data for an optimized crystal structure of NaLaO2.

Summary:
Its crystal system is trigonal. For the raw total energy, the calculation gives -6.605 eV per atom. Its formation energy (no corrections) is -10.259 eV/f.u. For the energy above the most stable polymorph in this dataset, the calculation gives 0.130 eV/atom.

Cell: 3.647 3.647 6.381 Å, 73.39 73.39 60.00°
Element x y z (fractional)
Na 0.490 0.490 0.529
La 0.668 0.668 0.997
O 0.073 0.073 0.781
O 0.269 0.269 0.194

## NaLaO (GGA-PBE)

Data for an optimized crystal structure of NaLaO.

Summary:
Its crystal system is monoclinic. For the raw total energy, the calculation gives -5.593 eV per atom. Its formation energy (no corrections) is -5.574 eV/f.u. For the energy above the most stable polymorph in this dataset, the calculation gives 0.000 eV/atom.

Cell: 4.168 8.401 11.002 Å, 92.03 100.92 90.00°
Element x y z (fractional)
Na 0.067 0.380 0.133
Na 0.456 0.167 0.912
Na 0.544 0.833 0.088
Na 0.933 0.620 0.867
O 0.250 0.628 0.500
O 0.750 0.877 0.500
O 0.750 0.372 0.500
O 0.250 0.123 0.500
La 0.302 0.380 0.604
La 0.696 0.121 0.392
La 0.698 0.620 0.396
La 0.304 0.879 0.608

## Na3LaO3 (GGA-PBE)

Data for an optimized crystal structure of Na3LaO3.

Summary:
Its crystal system is cubic. For the raw total energy, the calculation gives -5.437 eV per atom. Its formation energy (no corrections) is -14.297 eV/f.u.

Cell: 4.895 4.895 4.895 Å, 90.00 90.00 90.00°
Element x y z (fractional)
Na 0.000 0.500 0.000
Na 0.000 0.000 0.500
Na 0.500 0.000 0.000
La 0.500 0.500 0.500
O 0.500 0.000 0.500
O 0.500 0.500 0.000
O 0.000 0.500 0.500

## NaLaO2 (GGA-PBE)

Data for an optimized crystal structure of NaLaO2.

Summary:
Its crystal system is tetragonal. For the raw total energy, the calculation gives -6.580 eV per atom. Its formation energy (no corrections) is -10.158 eV/f.u. For the energy above the most stable polymorph in this dataset, the calculation gives 0.155 eV/atom.

Cell: 5.300 5.300 6.790 Å, 67.03 67.03 90.00°
Element x y z (fractional)
Na 0.500 0.500 0.000
Na 0.250 0.750 0.500
O 0.645 0.125 0.250
O 0.105 0.625 0.250
O 0.375 0.355 0.750
O 0.875 0.895 0.750
La 0.000 0.000 0.000
La 0.750 0.250 0.500

## Na2LaO (GGA-PBE)

Data for an optimized crystal structure of Na2LaO.

Summary:
Its crystal system is tetragonal. For the raw total energy, the calculation gives -3.410 eV per atom. Its formation energy (no corrections) is -1.118 eV/f.u.

Cell: 6.947 6.947 6.950 Å, 60.02 60.02 90.00°
Element x y z (fractional)
Na 0.373 0.125 0.250
Na 0.377 0.625 0.250
Na 0.375 0.627 0.750
Na 0.875 0.623 0.750
O 0.500 0.500 0.000
O 0.250 0.750 0.500
La 0.000 0.000 0.000
La 0.750 0.250 0.500

## NaLaO2 (GGA-PBE)

Data for an optimized crystal structure of NaLaO2.

Summary:
Its crystal system is cubic. For the raw total energy, the calculation gives -6.487 eV per atom. Its formation energy (no corrections) is -9.783 eV/f.u. For the energy above the most stable polymorph in this dataset, the calculation gives 0.249 eV/atom.

Cell: 4.215 4.215 4.215 Å, 60.00 60.00 60.00°
Element x y z (fractional)
Na 0.000 0.000 0.000
O 0.250 0.250 0.250
O 0.750 0.750 0.750
La 0.500 0.500 0.500

## NaLa2OsO6 (GGA-PBE)

Data for an optimized crystal structure of NaLa2OsO6.

Summary:
Its crystal system is monoclinic. For the raw total energy, the calculation gives -7.612 eV per atom. Its formation energy (no corrections) is -23.970 eV/f.u.

Cell: 6.025 5.654 9.844 Å, 55.65 90.00 90.00°
Element x y z (fractional)
Na 0.500 0.000 0.500
Na 0.000 0.000 0.000
La 0.066 0.772 0.747
La 0.566 0.228 0.753
La 0.434 0.772 0.247
La 0.934 0.228 0.253
Os 0.500 0.500 0.000
Os 0.000 0.500 0.500
O 0.722 0.734 0.432
O 0.222 0.266 0.068
O 0.278 0.266 0.568
O 0.778 0.734 0.932
O 0.050 0.613 0.271
O 0.550 0.387 0.229
O 0.950 0.387 0.729
O 0.450 0.613 0.771
O 0.326 0.840 0.949
O 0.826 0.160 0.551
O 0.674 0.160 0.051
O 0.174 0.840 0.449

## NaLaOsO6 (GGA-PBE)

Data for an optimized crystal structure of NaLaOsO6.

Summary:
Its crystal system is trigonal. For the raw total energy, the calculation gives -7.013 eV per atom. Its formation energy (no corrections) is -15.889 eV/f.u.

Cell: 5.533 5.532 4.986 Å, 90.00 90.00 60.00°
Element x y z (fractional)
Na 0.667 0.667 0.500
La 0.000 0.000 0.000
Os 0.333 0.333 0.500
O 0.062 0.323 0.283
O 0.323 0.062 0.717
O 0.615 0.323 0.717
O 0.062 0.615 0.717
O 0.323 0.615 0.283
O 0.615 0.062 0.283

## NaLaOs2O8 (GGA-PBE)

Data for an optimized crystal structure of NaLaOs2O8.

Summary:
Its crystal system is tetragonal. For the raw total energy, the calculation gives -7.246 eV per atom. Its formation energy (no corrections) is -18.581 eV/f.u.

Cell: 5.412 5.412 7.015 Å, 112.69 112.69 90.00°
Element x y z (fractional)
Na 0.750 0.250 0.500
La 0.000 0.000 0.000
Os 0.500 0.500 0.000
Os 0.250 0.750 0.500
O 0.734 0.823 0.161
O 0.427 0.338 0.161
O 0.575 0.689 0.669
O 0.094 0.980 0.669
O 0.020 0.425 0.331
O 0.311 0.906 0.331
O 0.177 0.573 0.839
O 0.662 0.266 0.839